# 1
Crystalline Ac8ZnNi2 at its relaxed geometry. Source: the Alexandria database, functional GGA-PBE.

D(E_F) ... 1.275 states/eV/atom
Energy of formation from the pure elements ... -0.01 eV/atom

a = 6.5250 Å, b = 8.4214 Å, c = 8.4214 Å
α = 116.26°, β = 98.42°, γ = 98.42°
Sites, in units of the cell vectors:
Ac: 0.8002 0.6358 0.6358
Ac: 0.5724 0.0903 0.3535
Ac: 0.1737 0.3763 0.3763
Ac: 0.9828 0.7711 0.2180
Ac: 0.5724 0.3535 0.0903
Ac: 0.3825 0.6507 0.9170
Ac: 0.9828 0.2180 0.7711
Ac: 0.3825 0.9170 0.6507
Zn: 0.1587 0.0045 0.0045
Ni: 0.4959 0.7149 0.3018
Ni: 0.4959 0.3018 0.7149

# 2
Crystalline LaOs3Rh at its relaxed geometry. Source: the Alexandria database, functional GGA-PBE.

D(E_F) ... 1.934 states/eV/atom
Energy above the most stable polymorph in this dataset ... 1606 meV per atom
Energy of formation from the pure elements ... 3.04 eV/atom

a = 4.7594 Å, b = 4.7594 Å, c = 4.7594 Å
α = 90.00°, β = 90.00°, γ = 90.00°
Site moments in Bohr magnetons follow the coordinates.
Sites, in units of the cell vectors:
Os: 0.0000 0.5000 0.0000  0.81
Os: 0.5000 0.0000 0.0000  0.67
Os: 0.0000 0.0000 0.5000  0.65
Rh: 0.5000 0.5000 0.5000  0.50
La: 0.0000 0.0000 0.0000  -0.06

# 3
Crystalline Fe2AgCl at its relaxed geometry. Source: the Alexandria database, functional GGA-PBE.

D(E_F) ... 1.013 states/eV/atom
Energy above the most stable polymorph in this dataset ... 513 meV per atom
E_form (uncorrected) ... 260 kJ/mol of formula units

a = 4.5290 Å, b = 3.7890 Å, c = 3.7890 Å
α = 90.00°, β = 90.00°, γ = 90.00°
Site moments in Bohr magnetons follow the coordinates.
Sites, in units of the cell vectors:
Cl: 0.5000 0.0000 0.5000  0.10
Fe: 0.0000 0.0000 0.0000  3.00
Fe: 0.0000 0.5000 0.5000  3.00
Ag: 0.5000 0.5000 0.0000  -0.01

no.,energy (eV/cell),spin magnetization (μB per atom)
1,-45.816,0.0000
2,-30.761,0.5273
3,-18.934,1.5313